1.
First-principles (PBE) data for a geometry-optimized BiRuSe2 structure, as listed in the Alexandria database.

a b c (Å): 8.852 8.852 8.852
angles (deg): 23.91 23.91 23.91
Fractional coordinates of all 4 atoms:
Ru 0.500 0.500 0.500
Bi 0.000 0.000 0.000
Se 0.884 0.884 0.884
Se 0.116 0.116 0.116

Calculated values
Magnetic moment (Bohr magnetons per cell): 0.0
ρ (g/cm3): 7.76
D(E_F) (states/eV/atom): 1.162
Raw formation energy (eV/atom): -0.1222

---

2.
First-principles (PBE) data for a geometry-optimized CrFeCu structure, as listed in the Alexandria database.

a b c (Å): 2.527 2.527 12.745
angles (deg): 84.31 84.31 60.00
Site moments in Bohr magnetons follow the coordinates.
Fractional coordinates of all 6 atoms:
Cr 0.696 0.696 0.911  -0.04
Cr 0.304 0.304 0.089  -0.04
Cu 0.861 0.861 0.416  0.00
Cu 0.139 0.139 0.584  0.00
Fe 0.749 0.749 0.753  0.09
Fe 0.251 0.251 0.247  0.09

Calculated values
Formation energy (eV per formula unit): 1.1
Energy above the lowest structure with this stoichiometry (eV/f.u.): 0.45
Magnetic moment (Bohr magnetons per cell): 0.1
ρ (g/cm3): 8.13
D(E_F) (states/eV/atom): 1.040

---

3.
First-principles (PBE) data for a geometry-optimized Sr2ZrFe structure, as listed in the Alexandria database.

a b c (Å): 3.474 4.914 6.886
angles (deg): 90.00 90.00 90.00
Site moments in Bohr magnetons follow the coordinates.
Fractional coordinates of all 4 atoms:
Fe 0.500 0.500 0.750  2.92
Sr 0.000 0.000 0.987  -0.07
Sr 0.000 0.000 0.513  -0.07
Zr 0.500 0.500 0.250  -0.37

Calculated values
Formation energy (eV per formula unit): 3.4
Energy above the lowest structure with this stoichiometry (eV/f.u.): 2.24
Magnetic moment (Bohr magnetons per cell): 1.9
ρ (g/cm3): 4.55
D(E_F) (states/eV/atom): 1.838

---

4.
First-principles (PBE) data for a geometry-optimized NdNi2H6 structure, as listed in the Alexandria database.

a b c (Å): 4.446 4.446 4.241
angles (deg): 90.00 90.00 120.00
Fractional coordinates of all 9 atoms:
Nd 0.000 0.000 0.000
Ni 0.333 0.667 0.500
Ni 0.667 0.333 0.500
H 0.500 0.000 0.258
H 0.500 0.500 0.258
H 0.000 0.500 0.258
H 0.500 0.500 0.742
H 0.000 0.500 0.742
H 0.500 0.000 0.742

Calculated values
Total energy (eV per atom): -4.4481
Magnetic moment (Bohr magnetons per cell): 0.0
ρ (g/cm3): 6.12
D(E_F) (states/eV/atom): 0.121

---

5.
First-principles (PBE) data for a geometry-optimized PaFe2Si2P structure, as listed in the Alexandria database.

a b c (Å): 4.179 4.179 5.261
angles (deg): 90.00 90.00 90.00
Site moments in Bohr magnetons follow the coordinates.
Fractional coordinates of all 6 atoms:
Pa 0.000 0.000 0.500  0.24
Fe 0.500 0.000 0.000  1.17
Fe 0.000 0.500 0.000  1.17
Si 0.500 0.500 0.729  -0.01
Si 0.500 0.500 0.271  -0.01
P 0.000 0.000 0.000  0.03

Calculated values
Magnetic moment (Bohr magnetons per cell): 2.6
ρ (g/cm3): 7.77
D(E_F) (states/eV/atom): 0.822
Raw formation energy (eV/atom): -0.4016

---

6.
First-principles (PBE) data for a geometry-optimized PuSiHPd2 structure, as listed in the Alexandria database.

a b c (Å): 3.864 5.795 7.229
angles (deg): 90.00 90.00 109.48
Site moments in Bohr magnetons follow the coordinates.
Fractional coordinates of all 10 atoms:
Pu 0.449 0.897 0.750  5.26
Pu 0.551 0.103 0.250  5.26
Si 0.730 0.460 0.750  -0.01
Si 0.270 0.540 0.250  -0.01
H 0.000 0.000 0.000  -0.01
H 0.000 0.000 0.500  -0.01
Pd 0.163 0.326 0.943  -0.01
Pd 0.837 0.674 0.057  -0.01
Pd 0.163 0.326 0.557  -0.01
Pd 0.837 0.674 0.443  -0.01

Calculated values
Total energy (eV per atom): -7.3061
Magnetic moment (Bohr magnetons per cell): 10.9
ρ (g/cm3): 10.57
D(E_F) (states/eV/atom): 2.269

---

7.
First-principles (PBE) data for a geometry-optimized AcYBi2 structure, as listed in the Alexandria database.

a b c (Å): 3.997 3.997 8.251
angles (deg): 90.00 90.00 90.00
Fractional coordinates of all 4 atoms:
Y 0.500 0.500 0.000
Ac 0.500 0.500 0.500
Bi 0.000 0.000 0.773
Bi 0.000 0.000 0.227

Calculated values
Formation energy (eV per formula unit): -2.7
Energy above the lowest structure with this stoichiometry (eV/f.u.): 1.00
Magnetic moment (Bohr magnetons per cell): 0.0
ρ (g/cm3): 9.25
D(E_F) (states/eV/atom): 0.875

---

8.
First-principles (PBE) data for a geometry-optimized CoPW structure, as listed in the Alexandria database.

a b c (Å): 3.786 5.841 9.996
angles (deg): 89.78 90.00 90.00
Fractional coordinates of all 18 atoms:
Co 0.250 0.984 0.087
Co 0.250 0.860 0.456
Co 0.750 0.637 0.790
Co 0.750 0.140 0.544
Co 0.250 0.363 0.210
Co 0.750 0.016 0.913
P 0.250 0.759 0.915
P 0.750 0.271 0.751
P 0.750 0.765 0.582
P 0.750 0.241 0.085
P 0.250 0.235 0.418
P 0.250 0.729 0.249
W 0.750 0.536 0.384
W 0.250 0.968 0.715
W 0.750 0.032 0.285
W 0.750 0.647 0.084
W 0.250 0.464 0.616
W 0.250 0.353 0.916

Calculated values
Formation energy (eV per formula unit): -1.3
Magnetic moment (Bohr magnetons per cell): 0.0
ρ (g/cm3): 12.34
D(E_F) (states/eV/atom): 0.591

---

Q: Among the records above, which one has the highest ρ?
A: CoPW

---

Q: Look up the D(E_F) of the sixth one.
A: 2.269 states/eV/atom

---

Q: Which formula does entry 6 have?
A: PuSiHPd2